[1]
DFT (PBE) results for a relaxed Ta6SnW crystal.

Calculated values
Space-group type ... No. 65
DOS at the Fermi energy ... 6.532 states/eV/f.u.
Formation energy ... -0.11 eV per formula unit

abc: 6.762 7.403 13.130
angles: 90.00 90.00 117.17
Element x y z (fractional)
Ta 0.143 0.759 0.371
Ta 0.755 0.509 0.252
Ta 0.500 0.000 0.000
Ta 0.000 0.000 0.000
Ta 0.871 0.259 0.122
Ta 0.615 0.759 0.371
Ta 0.245 0.491 0.748
Ta 0.871 0.259 0.878
Ta 0.615 0.759 0.629
Ta 0.612 0.741 0.122
Ta 0.500 0.000 0.500
Ta 0.129 0.741 0.122
Ta 0.388 0.259 0.878
Ta 0.755 0.509 0.748
Ta 0.000 0.000 0.500
Ta 0.143 0.759 0.629
Ta 0.385 0.241 0.371
Ta 0.129 0.741 0.878
Ta 0.612 0.741 0.878
Ta 0.388 0.259 0.122
Ta 0.857 0.241 0.371
Ta 0.857 0.241 0.629
Ta 0.245 0.491 0.252
Ta 0.385 0.241 0.629
Sn 0.760 0.520 0.500
Sn 0.000 0.000 0.757
Sn 0.000 0.000 0.243
Sn 0.240 0.480 0.500
W 0.753 0.506 0.000
W 0.247 0.494 0.000
W 0.500 0.000 0.247
W 0.500 0.000 0.753

[2]
DFT (PBE) results for a relaxed Tb3NdIr8 crystal.

Calculated values
Space-group type ... No. 156
DOS at the Fermi energy ... 3.504 states/eV/f.u.
Formation energy ... -9.19 eV per formula unit

abc: 5.391 5.391 8.763
angles: 90.00 90.00 120.00
Element x y z (fractional)
Ir 0.333 0.667 0.499
Ir 0.333 0.667 0.000
Ir 0.503 0.006 0.752
Ir 0.164 0.836 0.248
Ir 0.164 0.328 0.248
Ir 0.503 0.497 0.752
Ir 0.994 0.497 0.752
Ir 0.672 0.836 0.248
Tb 0.667 0.333 0.067
Tb 0.000 0.000 0.933
Tb 0.667 0.333 0.431
Nd 0.000 0.000 0.568

[3]
DFT (PBE) results for a relaxed TmAl2Ir2 crystal.

Calculated values
Space-group type ... No. 139
DOS at the Fermi energy ... 2.490 states/eV/f.u.
Formation energy ... -4.35 eV per formula unit

abc: 4.132 4.132 10.897
angles: 100.93 100.93 90.00
Element x y z (fractional)
Ir 0.930 0.930 0.860
Ir 0.750 0.250 0.500
Ir 0.250 0.750 0.500
Ir 0.070 0.070 0.140
Tm 0.634 0.634 0.268
Tm 0.366 0.366 0.732
Al 0.500 0.000 0.000
Al 0.187 0.187 0.374
Al 0.000 0.500 0.000
Al 0.813 0.813 0.626

[4]
DFT (PBE) results for a relaxed LiLaTa2 crystal.

Calculated values
Space-group type ... No. 139
DOS at the Fermi energy ... 4.988 states/eV/f.u.
Formation energy ... 2.39 eV per formula unit

abc: 5.713 5.713 5.713
angles: 137.65 137.65 61.45
Element x y z (fractional)
La 0.250 0.750 0.500
Ta 0.000 0.000 0.000
Ta 0.500 0.500 0.000
Li 0.750 0.250 0.500

[5]
DFT (PBE) results for a relaxed Sr2GeBr6 crystal.

Calculated values
Space-group type ... No. 14
Formation energy without anion corrections ... -1.58 eV/atom
DOS at the Fermi energy ... 0.000 states/eV/f.u.

abc: 7.752 7.234 10.788
angles: 95.37 90.00 90.00
Element x y z (fractional)
Br 0.187 0.685 0.559
Br 0.307 0.174 0.420
Br 0.055 0.157 0.744
Br 0.193 0.674 0.920
Br 0.693 0.826 0.580
Br 0.687 0.815 0.941
Br 0.945 0.843 0.256
Br 0.813 0.315 0.441
Br 0.555 0.343 0.756
Br 0.445 0.657 0.244
Br 0.313 0.185 0.059
Br 0.807 0.326 0.080
Sr 0.899 0.549 0.730
Sr 0.601 0.049 0.230
Sr 0.101 0.451 0.270
Sr 0.399 0.951 0.770
Ge 0.000 0.000 0.500
Ge 0.500 0.500 0.000

[6]
DFT (PBE) results for a relaxed Pr3Sm3Dy2 crystal.

Calculated values
Space-group type ... No. 12
DOS at the Fermi energy ... 13.006 states/eV/f.u.
Formation energy ... 0.61 eV per formula unit

abc: 5.831 6.079 8.814
angles: 109.89 109.32 90.00
Element x y z (fractional)
Pr 0.000 0.000 0.000
Pr 0.865 0.308 0.730
Pr 0.135 0.692 0.270
Sm 0.500 0.500 0.000
Sm 0.634 0.080 0.268
Sm 0.366 0.920 0.732
Dy 0.250 0.318 0.501
Dy 0.750 0.682 0.499

[7]
DFT (PBE) results for a relaxed Rb2Nb2V crystal.

Calculated values
Space-group type ... No. 127
DOS at the Fermi energy ... 3.192 states/eV/f.u.
Formation energy ... 6.25 eV per formula unit

abc: 6.510 6.510 6.879
angles: 90.00 90.00 90.00
Element x y z (fractional)
Rb 0.683 0.817 0.500
Rb 0.817 0.317 0.500
Rb 0.183 0.683 0.500
Rb 0.317 0.183 0.500
V 0.000 0.000 0.000
V 0.500 0.500 0.000
Nb 0.326 0.826 0.000
Nb 0.174 0.326 0.000
Nb 0.826 0.674 0.000
Nb 0.674 0.174 0.000

[8]
DFT (PBE) results for a relaxed Nd19Y4Tm6 crystal.

Calculated values
Space-group type ... No. 197
DOS at the Fermi energy ... 46.198 states/eV/f.u.
Formation energy ... 10.82 eV per formula unit

abc: 11.008 11.008 11.008
angles: 109.47 109.47 109.47
Element x y z (fractional)
Nd 0.018 0.799 0.343
Nd 0.738 0.738 0.000
Nd 0.657 0.457 0.675
Nd 0.000 0.262 0.262
Nd 0.325 0.782 0.982
Nd 0.543 0.201 0.218
Nd 0.201 0.218 0.543
Nd 0.675 0.657 0.457
Nd 0.343 0.018 0.799
Nd 0.000 0.738 0.738
Nd 0.782 0.982 0.325
Nd 0.262 0.262 0.000
Nd 0.738 0.000 0.738
Nd 0.262 0.000 0.262
Nd 0.218 0.543 0.201
Nd 0.982 0.325 0.782
Nd 0.457 0.675 0.657
Nd 0.799 0.343 0.018
Nd 0.000 0.000 0.000
Y 0.641 0.000 0.000
Y 0.359 0.359 0.359
Y 0.000 0.641 0.000
Y 0.000 0.000 0.641
Tm 0.500 0.125 0.625
Tm 0.875 0.375 0.500
Tm 0.125 0.625 0.500
Tm 0.500 0.875 0.375
Tm 0.625 0.500 0.125
Tm 0.375 0.500 0.875

[9]
DFT (PBE) results for a relaxed La2Pm3Dy crystal.

Calculated values
Space-group type ... No. 58
DOS at the Fermi energy ... 8.490 states/eV/f.u.
Formation energy ... 0.78 eV per formula unit

abc: 3.542 16.940 7.066
angles: 90.00 90.00 90.00
Element x y z (fractional)
Dy 0.500 0.500 0.000
Dy 0.000 0.000 0.500
Pm 0.000 0.653 0.251
Pm 0.500 0.500 0.500
Pm 0.000 0.347 0.749
Pm 0.000 0.000 0.000
Pm 0.500 0.847 0.751
Pm 0.500 0.153 0.249
La 0.000 0.339 0.248
La 0.500 0.839 0.252
La 0.500 0.161 0.748
La 0.000 0.661 0.752

[10]
DFT (PBE) results for a relaxed Li5Fe2I12 crystal.

Calculated values
Space-group type ... No. 12
Formation energy without anion corrections ... -0.59 eV/atom
DOS at the Fermi energy ... 7.377 states/eV/f.u.

abc: 8.024 9.405 10.289
angles: 99.53 90.00 115.25
Element x y z (fractional)
I 0.538 0.075 0.195
I 0.401 0.297 0.961
I 0.462 0.925 0.805
I 0.039 0.079 0.195
I 0.385 0.274 0.549
I 0.615 0.726 0.451
I 0.961 0.921 0.805
I 0.110 0.726 0.451
I 0.890 0.274 0.549
I 0.599 0.703 0.039
I 0.104 0.703 0.039
I 0.896 0.297 0.961
Li 0.259 0.518 0.536
Li 0.741 0.482 0.464
Li 0.385 0.770 0.268
Li 0.000 0.000 0.500
Li 0.615 0.230 0.732
Fe 0.759 0.000 0.000
Fe 0.241 0.000 0.000

[11]
DFT (PBE) results for a relaxed LiPu2Ge6Ir crystal.

Calculated values
Space-group type ... No. 166
DOS at the Fermi energy ... 17.892 states/eV/f.u.
Formation energy ... -2.65 eV per formula unit

abc: 6.203 6.203 12.502
angles: 75.64 75.64 60.00
Element x y z (fractional)
Ge 0.662 0.662 0.613
Ge 0.332 0.771 0.126
Ge 0.662 0.063 0.613
Ge 0.338 0.937 0.387
Ge 0.338 0.338 0.387
Ge 0.937 0.338 0.387
Ge 0.063 0.662 0.613
Ge 0.229 0.229 0.874
Ge 0.668 0.229 0.874
Ge 0.229 0.668 0.874
Ge 0.771 0.771 0.126
Ge 0.771 0.332 0.126
Pu 0.883 0.883 0.351
Pu 0.117 0.117 0.649
Pu 0.298 0.298 0.107
Pu 0.702 0.702 0.893
Ir 0.569 0.569 0.292
Ir 0.431 0.431 0.708
Li 0.000 0.000 0.000
Li 0.500 0.500 0.500

[12]
DFT (PBE) results for a relaxed BaGa3Cu6 crystal.

Calculated values
Space-group type ... No. 14
DOS at the Fermi energy ... 3.589 states/eV/f.u.
Formation energy ... -0.36 eV per formula unit

abc: 6.916 6.655 7.520
angles: 104.15 90.00 90.00
Element x y z (fractional)
Cu 0.214 0.776 0.281
Cu 0.524 0.966 0.825
Cu 0.476 0.034 0.175
Cu 0.285 0.376 0.132
Cu 0.715 0.624 0.868
Cu 0.215 0.876 0.632
Cu 0.976 0.466 0.325
Cu 0.286 0.276 0.781
Cu 0.714 0.724 0.219
Cu 0.785 0.124 0.368
Cu 0.024 0.534 0.675
Cu 0.786 0.224 0.719
Ba 0.000 0.000 0.000
Ba 0.500 0.500 0.500
Ga 0.000 0.500 0.000
Ga 0.620 0.324 0.031
Ga 0.120 0.176 0.469
Ga 0.380 0.676 0.969
Ga 0.500 0.000 0.500
Ga 0.880 0.824 0.531

[13]
DFT (PBE) results for a relaxed SrY2BeSi crystal.

Calculated values
Space-group type ... No. 123
Formation energy without anion corrections ... 0.35 eV/atom
DOS at the Fermi energy ... 6.799 states/eV/f.u.

abc: 5.195 5.312 5.195
angles: 90.00 90.00 90.00
Element x y z (fractional)
Y 0.500 0.000 0.000
Y 0.000 0.000 0.500
Be 0.000 0.000 0.000
Sr 0.000 0.500 0.000
Si 0.500 0.500 0.500

[14]
DFT (PBE) results for a relaxed Ba2LiFe crystal.

Calculated values
Space-group type ... No. 6
DOS at the Fermi energy ... 6.541 states/eV/f.u.
Formation energy ... 1.80 eV per formula unit

abc: 4.898 4.722 6.759
angles: 69.52 90.00 90.00
Element x y z (fractional)
Li 0.500 0.572 0.730
Ba 0.000 0.986 0.902
Ba 0.500 0.266 0.344
Fe 0.000 0.675 0.524

[15]
DFT (PBE) results for a relaxed PaAsI crystal.

Calculated values
Space-group type ... No. 187
Formation energy without anion corrections ... -0.32 eV/atom
DOS at the Fermi energy ... 2.940 states/eV/f.u.

abc: 4.162 4.846 4.846
angles: 120.00 90.00 90.00
Element x y z (fractional)
Pa 0.500 0.667 0.333
As 0.500 0.333 0.667
I 0.000 0.000 0.000

[16]
DFT (PBE) results for a relaxed BaSiTc2 crystal.

Calculated values
Space-group type ... No. 123
Formation energy without anion corrections ... 1.03 eV/atom
DOS at the Fermi energy ... 5.468 states/eV/f.u.

abc: 4.614 4.614 3.442
angles: 90.00 90.00 90.01
Element x y z (fractional)
Si 0.000 0.500 0.500
Tc 0.500 0.500 0.000
Tc 0.000 0.000 0.000
Ba 0.500 0.000 0.500

[17]
DFT (PBE) results for a relaxed HoErAgPt crystal.

Calculated values
Space-group type ... No. 216
DOS at the Fermi energy ... 2.788 states/eV/f.u.
Formation energy ... -3.23 eV per formula unit

abc: 4.988 4.988 4.988
angles: 60.00 60.00 60.00
Element x y z (fractional)
Er 0.500 0.500 0.500
Pt 0.750 0.750 0.750
Ho 0.000 0.000 0.000
Ag 0.250 0.250 0.250

[18]
DFT (PBE) results for a relaxed CaPm2Sc crystal.

Calculated values
Space-group type ... No. 225
DOS at the Fermi energy ... 5.198 states/eV/f.u.
Formation energy ... 0.55 eV per formula unit

abc: 5.694 5.694 5.694
angles: 60.00 60.00 60.00
Element x y z (fractional)
Sc 0.500 0.500 0.500
Ca 0.000 0.000 0.000
Pm 0.250 0.250 0.250
Pm 0.750 0.750 0.750

[19]
DFT (PBE) results for a relaxed LaIrOF2 crystal.

Calculated values
Space-group type ... No. 123
Formation energy without anion corrections ... -1.39 eV/atom
DOS at the Fermi energy ... 3.394 states/eV/f.u.

abc: 4.700 4.700 3.748
angles: 90.00 90.00 90.00
Element x y z (fractional)
F 0.500 0.000 0.000
F 0.000 0.500 0.000
La 0.500 0.500 0.500
O 0.000 0.000 0.500
Ir 0.000 0.000 0.000

[20]
DFT (PBE) results for a relaxed Mn2InPbI8 crystal.

Calculated values
Space-group type ... No. 147
Formation energy without anion corrections ... -0.39 eV/atom
DOS at the Fermi energy ... 9.374 states/eV/f.u.

abc: 7.547 7.547 10.606
angles: 90.00 90.00 120.00
Element x y z (fractional)
Mn 0.333 0.667 0.757
Mn 0.667 0.333 0.243
I 0.333 0.667 0.002
I 0.667 0.333 0.998
I 0.335 0.008 0.693
I 0.008 0.673 0.307
I 0.673 0.665 0.693
I 0.992 0.327 0.693
I 0.665 0.992 0.307
I 0.327 0.335 0.307
In 0.000 0.000 0.000
Pb 0.000 0.000 0.500

[21]
DFT (PBE) results for a relaxed TbSm2Al2 crystal.

Calculated values
Space-group type ... No. 71
DOS at the Fermi energy ... 4.726 states/eV/f.u.
Formation energy ... -1.57 eV per formula unit

abc: 4.892 5.818 5.818
angles: 71.34 65.14 65.14
Element x y z (fractional)
Al 0.500 0.303 0.697
Al 0.500 0.697 0.303
Tb 0.000 0.000 0.000
Sm 0.803 0.697 0.697
Sm 0.197 0.303 0.303